#P
First-principles (GGA-PBE) data for an optimized crystal structure of SiPPbS2, as listed in Alexandria via LeMat-Bulk.

Structure (CIF):
```
data_SiPPbS2
_symmetry_space_group_name_H-M 'P 1'
_symmetry_Int_Tables_number 1
_cell_length_a 4.859
_cell_length_b 4.859
_cell_length_c 4.747
_cell_angle_alpha 90.00
_cell_angle_beta 90.00
_cell_angle_gamma 90.00
loop_
_symmetry_equiv_pos_as_xyz
'x,y,z'
loop_
_atom_site_label
_atom_site_type_symbol
_atom_site_fract_x
_atom_site_fract_y
_atom_site_fract_z
_atom_site_occupancy
Pb1 Pb 0.500 0.500 0.500 1
P1 P 0.000 0.000 0.500 1
S1 S 0.000 0.500 0.000 1
S2 S 0.500 0.000 0.000 1
Si1 Si 0.000 0.000 0.000 1
```

Properties
Mass density ... 4.9 Mg/m³
Space-group type ... P4/mmm

=====

#Q
First-principles (GGA-PBE) data for an optimized crystal structure of SiPPbS2, as listed in Alexandria via LeMat-Bulk.

Structure (CIF):
```
data_SiPPbS2
_symmetry_space_group_name_H-M 'P 1'
_symmetry_Int_Tables_number 1
_cell_length_a 5.132
_cell_length_b 5.132
_cell_length_c 5.152
_cell_angle_alpha 90.00
_cell_angle_beta 90.00
_cell_angle_gamma 90.00
loop_
_symmetry_equiv_pos_as_xyz
'x,y,z'
loop_
_atom_site_label
_atom_site_type_symbol
_atom_site_fract_x
_atom_site_fract_y
_atom_site_fract_z
_atom_site_occupancy
Pb1 Pb 0.000 0.000 0.000 1
P1 P 0.000 0.000 0.500 1
S1 S 0.000 0.500 0.000 1
S2 S 0.500 0.000 0.000 1
Si1 Si 0.500 0.500 0.500 1
```

Properties
Mass density ... 4.0 Mg/m³
Space-group type ... P4/mmm

=====

Which of them is the most stable, and which is the least stable? #P and #Q, in that order.

=====

#P
First-principles (GGA-PBE) data for an optimized crystal structure of SiP2PbS, as listed in Alexandria via LeMat-Bulk.

Structure (CIF):
```
data_SiP2PbS
_symmetry_space_group_name_H-M 'P 1'
_symmetry_Int_Tables_number 1
_cell_length_a 4.735
_cell_length_b 4.735
_cell_length_c 4.999
_cell_angle_alpha 90.00
_cell_angle_beta 90.00
_cell_angle_gamma 90.00
loop_
_symmetry_equiv_pos_as_xyz
'x,y,z'
loop_
_atom_site_label
_atom_site_type_symbol
_atom_site_fract_x
_atom_site_fract_y
_atom_site_fract_z
_atom_site_occupancy
Pb1 Pb 0.500 0.500 0.500 1
P1 P 0.000 0.500 0.000 1
P2 P 0.500 0.000 0.000 1
S1 S 0.000 0.000 0.500 1
Si1 Si 0.000 0.000 0.000 1
```

Properties
Mass density ... 4.9 Mg/m³
Space-group type ... P4/mmm

=====

#Q
First-principles (GGA-PBE) data for an optimized crystal structure of SiP2PbS, as listed in Alexandria via LeMat-Bulk.

Structure (CIF):
```
data_SiP2PbS
_symmetry_space_group_name_H-M 'P 1'
_symmetry_Int_Tables_number 1
_cell_length_a 5.167
_cell_length_b 5.167
_cell_length_c 5.120
_cell_angle_alpha 90.00
_cell_angle_beta 90.00
_cell_angle_gamma 90.00
loop_
_symmetry_equiv_pos_as_xyz
'x,y,z'
loop_
_atom_site_label
_atom_site_type_symbol
_atom_site_fract_x
_atom_site_fract_y
_atom_site_fract_z
_atom_site_occupancy
Pb1 Pb 0.000 0.000 0.000 1
P1 P 0.000 0.500 0.000 1
P2 P 0.500 0.000 0.000 1
S1 S 0.000 0.000 0.500 1
Si1 Si 0.500 0.500 0.500 1
```

Properties
Mass density ... 4.0 Mg/m³
Space-group type ... P4/mmm

=====

Which of them is the most stable, and which is the least stable? #P and #Q, in that order.

=====

#P
First-principles (GGA-PBE) data for an optimized crystal structure of SnPPbS2, as listed in Alexandria via LeMat-Bulk.

Structure (CIF):
```
data_SnPPbS2
_symmetry_space_group_name_H-M 'P 1'
_symmetry_Int_Tables_number 1
_cell_length_a 5.045
_cell_length_b 5.045
_cell_length_c 5.018
_cell_angle_alpha 90.00
_cell_angle_beta 90.00
_cell_angle_gamma 90.00
loop_
_symmetry_equiv_pos_as_xyz
'x,y,z'
loop_
_atom_site_label
_atom_site_type_symbol
_atom_site_fract_x
_atom_site_fract_y
_atom_site_fract_z
_atom_site_occupancy
Pb1 Pb 0.500 0.500 0.500 1
P1 P 0.000 0.000 0.500 1
S1 S 0.000 0.500 0.000 1
S2 S 0.500 0.000 0.000 1
Sn1 Sn 0.000 0.000 0.000 1
```

Properties
Mass density ... 5.5 Mg/m³
Space-group type ... P4/mmm

=====

#Q
First-principles (GGA-PBE) data for an optimized crystal structure of SnPPbS2, as listed in Alexandria via LeMat-Bulk.

Structure (CIF):
```
data_SnPPbS2
_symmetry_space_group_name_H-M 'P 1'
_symmetry_Int_Tables_number 1
_cell_length_a 5.025
_cell_length_b 6.355
_cell_length_c 5.025
_cell_angle_alpha 90.00
_cell_angle_beta 90.00
_cell_angle_gamma 90.00
loop_
_symmetry_equiv_pos_as_xyz
'x,y,z'
loop_
_atom_site_label
_atom_site_type_symbol
_atom_site_fract_x
_atom_site_fract_y
_atom_site_fract_z
_atom_site_occupancy
Pb1 Pb 0.000 0.000 0.000 1
P1 P 0.500 0.500 0.500 1
S1 S 0.000 0.000 0.500 1
S2 S 0.500 0.000 0.000 1
Sn1 Sn 0.000 0.500 0.000 1
```

Properties
Mass density ... 4.4 Mg/m³
Space-group type ... P4/mmm

=====

Which of them is the most stable, and which is the least stable? #P and #Q, in that order.

=====

#P
First-principles (GGA-PBE) data for an optimized crystal structure of SrP2PbS, as listed in Alexandria via LeMat-Bulk.

Structure (CIF):
```
data_SrP2PbS
_symmetry_space_group_name_H-M 'P 1'
_symmetry_Int_Tables_number 1
_cell_length_a 5.189
_cell_length_b 5.189
_cell_length_c 5.353
_cell_angle_alpha 90.00
_cell_angle_beta 90.00
_cell_angle_gamma 90.00
loop_
_symmetry_equiv_pos_as_xyz
'x,y,z'
loop_
_atom_site_label
_atom_site_type_symbol
_atom_site_fract_x
_atom_site_fract_y
_atom_site_fract_z
_atom_site_occupancy
Pb1 Pb 0.000 0.000 0.000 1
Sr1 Sr 0.500 0.500 0.500 1
S1 S 0.000 0.000 0.500 1
P1 P 0.000 0.500 0.000 1
P2 P 0.500 0.000 0.000 1
```

Properties
Mass density ... 4.5 Mg/m³
Space-group type ... P4/mmm

=====

#Q
First-principles (GGA-PBE) data for an optimized crystal structure of SrP2PbS, as listed in Alexandria via LeMat-Bulk.

Structure (CIF):
```
data_SrP2PbS
_symmetry_space_group_name_H-M 'P 1'
_symmetry_Int_Tables_number 1
_cell_length_a 5.542
_cell_length_b 5.542
_cell_length_c 5.563
_cell_angle_alpha 90.00
_cell_angle_beta 90.00
_cell_angle_gamma 90.00
loop_
_symmetry_equiv_pos_as_xyz
'x,y,z'
loop_
_atom_site_label
_atom_site_type_symbol
_atom_site_fract_x
_atom_site_fract_y
_atom_site_fract_z
_atom_site_occupancy
Pb1 Pb 0.500 0.500 0.500 1
Sr1 Sr 0.000 0.000 0.000 1
S1 S 0.000 0.000 0.500 1
P1 P 0.000 0.500 0.000 1
P2 P 0.500 0.000 0.000 1
```

Properties
Mass density ... 3.8 Mg/m³
Space-group type ... P4/mmm

=====

Which of them is the most stable, and which is the least stable? #P and #Q, in that order.

=====

#P
First-principles (GGA-PBE) data for an optimized crystal structure of TaPPbS2, as listed in Alexandria via LeMat-Bulk.

Structure (CIF):
```
data_TaPPbS2
_symmetry_space_group_name_H-M 'P 1'
_symmetry_Int_Tables_number 1
_cell_length_a 5.101
_cell_length_b 5.101
_cell_length_c 5.135
_cell_angle_alpha 90.00
_cell_angle_beta 90.00
_cell_angle_gamma 90.00
loop_
_symmetry_equiv_pos_as_xyz
'x,y,z'
loop_
_atom_site_label
_atom_site_type_symbol
_atom_site_fract_x
_atom_site_fract_y
_atom_site_fract_z
_atom_site_occupancy
Pb1 Pb 0.000 0.000 0.000 1
P1 P 0.000 0.000 0.500 1
S1 S 0.000 0.500 0.000 1
S2 S 0.500 0.000 0.000 1
Ta1 Ta 0.500 0.500 0.500 1
```

Properties
Mass density ... 6.0 Mg/m³
Space-group type ... P4/mmm

=====

#Q
First-principles (GGA-PBE) data for an optimized crystal structure of TaPPbS2, as listed in Alexandria via LeMat-Bulk.

Structure (CIF):
```
data_TaPPbS2
_symmetry_space_group_name_H-M 'P 1'
_symmetry_Int_Tables_number 1
_cell_length_a 4.777
_cell_length_b 4.777
_cell_length_c 5.023
_cell_angle_alpha 90.00
_cell_angle_beta 90.00
_cell_angle_gamma 90.00
loop_
_symmetry_equiv_pos_as_xyz
'x,y,z'
loop_
_atom_site_label
_atom_site_type_symbol
_atom_site_fract_x
_atom_site_fract_y
_atom_site_fract_z
_atom_site_occupancy
Pb1 Pb 0.500 0.500 0.500 1
P1 P 0.000 0.000 0.500 1
S1 S 0.000 0.500 0.000 1
S2 S 0.500 0.000 0.000 1
Ta1 Ta 0.000 0.000 0.000 1
```

Properties
Mass density ... 7.0 Mg/m³
Space-group type ... P4/mmm

=====

Which of them is the most stable, and which is the least stable? #Q and #P, in that order.

=====

#P
First-principles (GGA-PBE) data for an optimized crystal structure of TcPPbS2, as listed in Alexandria via LeMat-Bulk.

Structure (CIF):
```
data_TcPPbS2
_symmetry_space_group_name_H-M 'P 1'
_symmetry_Int_Tables_number 1
_cell_length_a 4.963
_cell_length_b 4.963
_cell_length_c 4.599
_cell_angle_alpha 90.00
_cell_angle_beta 90.00
_cell_angle_gamma 90.00
loop_
_symmetry_equiv_pos_as_xyz
'x,y,z'
loop_
_atom_site_label
_atom_site_type_symbol
_atom_site_fract_x
_atom_site_fract_y
_atom_site_fract_z
_atom_site_occupancy
Pb1 Pb 0.500 0.500 0.500 1
P1 P 0.000 0.000 0.500 1
S1 S 0.000 0.500 0.000 1
S2 S 0.500 0.000 0.000 1
Tc1 Tc 0.000 0.000 0.000 1
```

Properties
Mass density ... 5.9 Mg/m³
Space-group type ... P4/mmm

=====

#Q
First-principles (GGA-PBE) data for an optimized crystal structure of TcPPbS2, as listed in Alexandria via LeMat-Bulk.

Structure (CIF):
```
data_TcPPbS2
_symmetry_space_group_name_H-M 'P 1'
_symmetry_Int_Tables_number 1
_cell_length_a 5.190
_cell_length_b 5.190
_cell_length_c 5.196
_cell_angle_alpha 90.00
_cell_angle_beta 90.00
_cell_angle_gamma 90.00
loop_
_symmetry_equiv_pos_as_xyz
'x,y,z'
loop_
_atom_site_label
_atom_site_type_symbol
_atom_site_fract_x
_atom_site_fract_y
_atom_site_fract_z
_atom_site_occupancy
Pb1 Pb 0.000 0.000 0.000 1
P1 P 0.000 0.000 0.500 1
S1 S 0.000 0.500 0.000 1
S2 S 0.500 0.000 0.000 1
Tc1 Tc 0.500 0.500 0.500 1
```

Properties
Mass density ... 4.8 Mg/m³
Space-group type ... P4/mmm

=====

Which of them is the most stable, and which is the least stable? #P and #Q, in that order.

=====

#P
First-principles (GGA-PBE) data for an optimized crystal structure of TiPPbS2, as listed in Alexandria via LeMat-Bulk.

Structure (CIF):
```
data_TiPPbS2
_symmetry_space_group_name_H-M 'P 1'
_symmetry_Int_Tables_number 1
_cell_length_a 5.079
_cell_length_b 5.079
_cell_length_c 5.066
_cell_angle_alpha 90.00
_cell_angle_beta 90.00
_cell_angle_gamma 90.00
loop_
_symmetry_equiv_pos_as_xyz
'x,y,z'
loop_
_atom_site_label
_atom_site_type_symbol
_atom_site_fract_x
_atom_site_fract_y
_atom_site_fract_z
_atom_site_occupancy
Pb1 Pb 0.000 0.000 0.000 1
P1 P 0.000 0.000 0.500 1
S1 S 0.000 0.500 0.000 1
S2 S 0.500 0.000 0.000 1
Ti1 Ti 0.500 0.500 0.500 1
```

Properties
Mass density ... 4.4 Mg/m³
Space-group type ... P4/mmm

=====

#Q
First-principles (GGA-PBE) data for an optimized crystal structure of TiPPbS2, as listed in Alexandria via LeMat-Bulk.

Structure (CIF):
```
data_TiPPbS2
_symmetry_space_group_name_H-M 'P 1'
_symmetry_Int_Tables_number 1
_cell_length_a 4.754
_cell_length_b 4.754
_cell_length_c 4.834
_cell_angle_alpha 90.00
_cell_angle_beta 90.00
_cell_angle_gamma 90.00
loop_
_symmetry_equiv_pos_as_xyz
'x,y,z'
loop_
_atom_site_label
_atom_site_type_symbol
_atom_site_fract_x
_atom_site_fract_y
_atom_site_fract_z
_atom_site_occupancy
Pb1 Pb 0.500 0.500 0.500 1
P1 P 0.000 0.000 0.500 1
S1 S 0.000 0.500 0.000 1
S2 S 0.500 0.000 0.000 1
Ti1 Ti 0.000 0.000 0.000 1
```

Properties
Mass density ... 5.3 Mg/m³
Space-group type ... P4/mmm

=====

Which of them is the most stable, and which is the least stable? #Q and #P, in that order.